## NaBTeSe2 (PBE)

Data for a relaxed structure of NaBTeSe2.

abc: 5.510 5.510 5.510
angles: 90.00 90.00 90.00
Positions (direct):
Na  0.000  0.000  0.000
B  0.500  0.500  0.000
Te  0.000  0.000  0.500
Se  0.000  0.500  0.500
Se  0.500  0.000  0.500

Computed properties:
Crystal system   tetragonal
Total DFT energy (no corrections)   -0.094 Ha/atom
Symmetry   P4/mmm
E_form (uncorrected)   1.067 eV per atom

## NaCd2B2 (PBE)

Data for a relaxed structure of NaCd2B2.

abc: 5.774 5.774 5.774
angles: 136.30 136.30 63.51
Positions (direct):
Na  0.000  0.000  0.000
Cd  0.351  0.351  0.000
Cd  0.649  0.649  0.000
B  0.250  0.750  0.500
B  0.750  0.250  0.500

Computed properties:
Formation enthalpy at 0 K   986 meV/atom
Crystal system   tetragonal
Total DFT energy (no corrections)   -0.085 Ha/atom
Symmetry   I4/mmm

Repeat the second record exactly.
## NaCd2B2 (PBE)

Data for a relaxed structure of NaCd2B2.

abc: 5.774 5.774 5.774
angles: 136.30 136.30 63.51
Positions (direct):
Na  0.000  0.000  0.000
Cd  0.351  0.351  0.000
Cd  0.649  0.649  0.000
B  0.250  0.750  0.500
B  0.750  0.250  0.500

Computed properties:
Formation enthalpy at 0 K   986 meV/atom
Crystal system   tetragonal
Total DFT energy (no corrections)   -0.085 Ha/atom
Symmetry   I4/mmm